Material: LiCuP2
Method: DFT, GGA-PBE
State: relaxed

Computed properties:
E above lowest polymorph   0.154 eV per atom
Formation enthalpy at 0 K   -10.6 meV per atom
Crystal system   tetragonal
Symmetry   No. 123

a b c (Å): 3.6462 3.8212 3.8212
angles (deg): 90.00 90.00 90.00
Positions (direct):
Cu 0.5000 0.5000 0.0000
P 0.0000 0.0000 0.0000
P 0.0000 0.5000 0.5000
Li 0.5000 0.0000 0.5000

Material: Li5Mg3
Method: DFT, GGA-PBE
State: relaxed

Computed properties:
E above lowest polymorph   0.000 eV per atom
Formation enthalpy at 0 K   -45.2 meV per atom
Crystal system   cubic
Symmetry   No. 229

a b c (Å): 5.9426 5.9426 5.9426
angles (deg): 109.47 109.47 109.47
Positions (direct):
Li 0.0000 0.0000 0.5000
Li 0.0000 0.0000 0.0000
Li 0.0000 0.5000 0.0000
Li 0.5000 0.0000 0.0000
Li 0.5000 0.5000 0.5000
Mg 0.5000 0.5000 0.0000
Mg 0.5000 0.0000 0.5000
Mg 0.0000 0.5000 0.5000

Material: Ba2MnCo
Method: DFT, GGA-PBE
State: relaxed

Computed properties:
E above lowest polymorph   0.373 eV per atom
Formation enthalpy at 0 K   691.9 meV per atom
Crystal system   tetragonal
Symmetry   No. 123

a b c (Å): 3.8917 3.8942 7.9491
angles (deg): 90.00 90.00 90.00
Site moments in Bohr magnetons follow the coordinates.
Positions (direct):
Ba 0.0000 0.0000 0.0197  -0.16
Ba 0.0000 0.0000 0.4803  -0.16
Mn 0.5000 0.5000 0.7500  3.92
Co 0.5000 0.5000 0.2500  1.46

Material: BaCuOs2
Method: DFT, GGA-PBE
State: relaxed

Computed properties:
E above lowest polymorph   0.364 eV per atom
Formation enthalpy at 0 K   568.6 meV per atom
Crystal system   orthorhombic
Symmetry   No. 25

a b c (Å): 3.6306 2.9218 8.1058
angles (deg): 68.83 90.00 90.00
Positions (direct):
Os 0.5000 0.3387 0.1611
Os 0.0000 0.9859 0.0141
Cu 0.5000 0.6785 0.8215
Ba 0.0000 0.4970 0.5032

Material: CaLa2Sm
Method: DFT, GGA-PBE
State: relaxed

Computed properties:
E above lowest polymorph   0.000 eV per atom
Formation enthalpy at 0 K   28.7 meV per atom
Crystal system   trigonal
Symmetry   No. 166

a b c (Å): 3.7262 3.7262 12.5852
angles (deg): 81.49 81.49 60.00
Positions (direct):
La 0.7461 0.7461 0.7618
La 0.2539 0.2539 0.2382
Ca 0.5000 0.5000 0.5000
Sm 0.0000 0.0000 0.0000

Material: ScBe2Cr
Method: DFT, GGA-PBE
State: relaxed

Computed properties:
E above lowest polymorph   0.177 eV per atom
Formation enthalpy at 0 K   220.8 meV per atom
Crystal system   tetragonal
Symmetry   No. 123

a b c (Å): 4.0824 4.0824 3.1030
angles (deg): 90.00 90.00 90.00
Site moments in Bohr magnetons follow the coordinates.
Positions (direct):
Cr 0.5000 0.0000 0.5000  2.10
Be 0.5000 0.5000 0.0000  -0.07
Be 0.0000 0.0000 0.0000  -0.07
Sc 0.0000 0.5000 0.5000  -0.17

Material: ZrPb2Se
Method: DFT, GGA-PBE
State: relaxed

Computed properties:
Raw formation energy   -0.0894 eV per atom
Crystal system   orthorhombic
Symmetry   No. 65

a b c (Å): 5.4542 5.4542 3.4671
angles (deg): 90.00 90.00 105.22
Positions (direct):
Zr 0.0000 0.5000 0.5000
Pb 0.5000 0.5000 0.0000
Pb 0.0000 0.0000 0.0000
Se 0.5000 0.0000 0.5000

Material: InReAg2
Method: DFT, GGA-PBE
State: relaxed

Computed properties:
Formation enthalpy at 0 K   532.5 meV per atom
Crystal system   tetragonal
Symmetry   No. 123

a b c (Å): 2.8029 2.8029 9.2206
angles (deg): 90.00 90.00 90.00
Positions (direct):
Ag 0.0000 0.0000 0.9837
Ag 0.0000 0.0000 0.5163
In 0.5000 0.5000 0.2500
Re 0.5000 0.5000 0.7500

Copy entry 8 word for word.
Material: InReAg2
Method: DFT, GGA-PBE
State: relaxed

Computed properties:
Formation enthalpy at 0 K   532.5 meV per atom
Crystal system   tetragonal
Symmetry   No. 123

a b c (Å): 2.8029 2.8029 9.2206
angles (deg): 90.00 90.00 90.00
Positions (direct):
Ag 0.0000 0.0000 0.9837
Ag 0.0000 0.0000 0.5163
In 0.5000 0.5000 0.2500
Re 0.5000 0.5000 0.7500

Repeat the third record exactly.
Material: Ba2MnCo
Method: DFT, GGA-PBE
State: relaxed

Computed properties:
E above lowest polymorph   0.373 eV per atom
Formation enthalpy at 0 K   691.9 meV per atom
Crystal system   tetragonal
Symmetry   No. 123

a b c (Å): 3.8917 3.8942 7.9491
angles (deg): 90.00 90.00 90.00
Site moments in Bohr magnetons follow the coordinates.
Positions (direct):
Ba 0.0000 0.0000 0.0197  -0.16
Ba 0.0000 0.0000 0.4803  -0.16
Mn 0.5000 0.5000 0.7500  3.92
Co 0.5000 0.5000 0.2500  1.46

Q: Number 4 is which compound?
A: BaCuOs2

What did the fourth record say?
Material: BaCuOs2
Method: DFT, GGA-PBE
State: relaxed

Computed properties:
E above lowest polymorph   0.364 eV per atom
Formation enthalpy at 0 K   568.6 meV per atom
Crystal system   orthorhombic
Symmetry   No. 25

a b c (Å): 3.6306 2.9218 8.1058
angles (deg): 68.83 90.00 90.00
Positions (direct):
Os 0.5000 0.3387 0.1611
Os 0.0000 0.9859 0.0141
Cu 0.5000 0.6785 0.8215
Ba 0.0000 0.4970 0.5032